Record 1
A geometry-optimized LaScTl2 structure, computed with GGA-PBE.

Summary:
Calculated volume   31.69 A^3/atom
Energy of formation   198 meV per atom
Spin magnetization   0.0 μB/cell

a = 7.257 Å, b = 7.257 Å, c = 7.257 Å
α = 152.61°, β = 133.53°, γ = 54.79°
Positions (direct):
La 0.000 0.000 0.000
Sc 0.500 0.500 0.000
Tl 0.268 0.268 0.000
Tl 0.732 0.732 0.000

Record 2
A geometry-optimized LiLa3Si structure, computed with GGA-PBE.

Summary:
Calculated volume   39.21 A^3/atom
Formation energy without anion corrections   0.02 eV/atom
Spin magnetization   2.0 μB/cell

a = 5.809 Å, b = 5.809 Å, c = 5.809 Å
α = 90.00°, β = 90.00°, γ = 90.00°
Positions (direct):
Li 0.000 0.000 0.000
La 0.000 0.500 0.500
La 0.500 0.000 0.500
La 0.500 0.500 0.000
Si 0.500 0.500 0.500

Record 3
A geometry-optimized Sm6Al2Pd structure, computed with GGA-PBE.

Summary:
Calculated volume   27.90 A^3/atom
Energy of formation   -292 meV per atom
Spin magnetization   0.0 μB/cell

a = 9.957 Å, b = 9.957 Å, c = 5.064 Å
α = 90.00°, β = 90.00°, γ = 90.00°
Positions (direct):
Sm 0.024 0.310 0.000
Sm 0.118 0.882 0.500
Sm 0.190 0.524 0.500
Sm 0.310 0.024 0.000
Sm 0.382 0.382 0.000
Sm 0.476 0.810 0.500
Sm 0.524 0.190 0.500
Sm 0.618 0.618 0.000
Sm 0.690 0.976 0.000
Sm 0.810 0.476 0.500
Sm 0.882 0.118 0.500
Sm 0.976 0.690 0.000
Al 0.205 0.205 0.500
Al 0.295 0.705 0.000
Al 0.705 0.295 0.000
Al 0.795 0.795 0.500
Pd 0.000 0.000 0.000
Pd 0.500 0.500 0.500

Record 4
A geometry-optimized HgI structure, computed with GGA-PBE.

Summary:
Calculated volume   41.99 A^3/atom
Formation energy without anion corrections   -0.14 eV/atom
Spin magnetization   0.0 μB/cell

a = 5.372 Å, b = 5.386 Å, c = 5.806 Å
α = 90.00°, β = 90.28°, γ = 90.00°
Positions (direct):
Hg 0.249 0.250 0.250
Hg 0.751 0.750 0.750
I 0.250 0.250 0.750
I 0.750 0.750 0.250

Record 5
A geometry-optimized Rb2CrMo structure, computed with GGA-PBE.

Summary:
Calculated volume   52.80 A^3/atom
Energy of formation   1397 meV per atom
Spin magnetization   0.9 μB/cell

a = 9.785 Å, b = 9.785 Å, c = 9.785 Å
α = 93.28°, β = 93.28°, γ = 152.34°
Positions (direct):
Rb 0.375 0.050 0.175
Rb 0.800 0.625 0.675
Rb 0.875 0.200 0.825
Rb 0.950 0.125 0.325
Cr 0.000 0.000 0.000
Cr 0.750 0.250 0.500
Mo 0.250 0.750 0.500
Mo 0.500 0.500 0.000

Record 6
A geometry-optimized Ca3PuN4 structure, computed with GGA-PBE.

Summary:
Calculated volume   14.80 A^3/atom
Formation energy without anion corrections   -1.08 eV/atom
Spin magnetization   4.0 μB/cell

a = 6.061 Å, b = 6.901 Å, c = 6.058 Å
α = 90.00°, β = 110.86°, γ = 90.00°
Positions (direct):
Ca 0.000 0.122 0.250
Ca 0.000 0.376 0.750
Ca 0.000 0.624 0.250
Ca 0.000 0.878 0.750
Ca 0.500 0.124 0.750
Ca 0.500 0.876 0.250
Pu 0.500 0.374 0.250
Pu 0.500 0.626 0.750
N 0.269 0.155 0.037
N 0.269 0.845 0.537
N 0.294 0.403 0.508
N 0.294 0.597 0.008
N 0.706 0.403 0.992
N 0.706 0.597 0.492
N 0.731 0.155 0.463
N 0.731 0.845 0.963

> Look up the calculated volume of the sixth one.

14.80 A^3/atom